A geometry-optimized TaAl3 structure, computed with PBE.

Space group: P1, No. 1
Total moment in μB/cell: 0.00
Formation enthalpy at 0 K in meV/atom: -219.7

Cell: 5.4166 5.4088 5.4069 Å, 148.83 126.03 63.70°
Last column: nearest neighbours and their distance in Å.
Sites, in units of the cell vectors:
Al 0.2521 0.2525 0.0000  9 Al 2.81-2.91, 3 Ta 2.83
Al 0.7475 0.7477 0.9995  9 Al 2.82-2.91, 3 Ta 2.82-2.83
Al 0.1634 0.5000 0.6635  8 Al 2.81-2.91, 4 Ta 2.82-2.89
Ta 0.6704 0.9998 0.6704  10 Al 2.82-2.89, 2 Ta 2.91

---

A geometry-optimized CsPm3Sm2Te6 structure, computed with PBE.

Space group: C2/m, No. 12
Raw formation energy in eV per atom: -1.32
Total moment in μB/cell: 0.00

Cell: 4.4779 9.4134 10.2340 Å, 103.45 102.64 90.00°
Last column: nearest neighbours and their distance in Å.
Sites, in units of the cell vectors:
Te 0.6655 0.5817 0.3310  3 Pm 3.17-3.21, 3 Sm 3.17
Te 0.9943 0.7222 0.9886  3 Pm 3.08-3.21, 1 Sm 3.21, 2 Cs 3.42
Te 0.6791 0.0900 0.3582  3 Pm 3.13-3.36, 2 Sm 3.32, 1 Cs 3.47
Te 0.3209 0.9100 0.6418  3 Pm 3.13-3.36, 2 Sm 3.32, 1 Cs 3.47
Te 0.0057 0.2778 0.0114  3 Pm 3.08-3.21, 1 Sm 3.21, 2 Cs 3.42
Te 0.3345 0.4183 0.6690  3 Pm 3.17-3.21, 3 Sm 3.17
Cs 0.5000 0.0000 0.0000  6 Te 3.42-3.47
Pm 0.8405 0.1834 0.6810  6 Te 3.13-3.36
Pm 0.1595 0.8166 0.3190  6 Te 3.13-3.36
Pm 0.5000 0.5000 0.0000  6 Te 3.08-3.21
Sm 0.1711 0.3462 0.3422  6 Te 3.17-3.32
Sm 0.8289 0.6538 0.6578  6 Te 3.17-3.32

---

A geometry-optimized Tb2Pm5PrTm structure, computed with PBE.

Space group: Cmc2_1, No. 36
Total moment in μB/cell: 0.00
Formation enthalpy at 0 K in meV/atom: 148.3

Cell: 5.7034 10.5211 10.6533 Å, 90.00 90.00 105.73°
Last column: nearest neighbours and their distance in Å.
Sites, in units of the cell vectors:
Pm 0.7202 0.4404 0.8146  1 Pr 3.08, 1 Tb 3.32, 2 Pm 3.44
Pm 0.7028 0.4057 0.2075  4 Pm 3.44-3.79, 3 Tm 3.54-3.80, 3 Tb 3.55-3.72, 1 Pr 3.56
Pm 0.0170 0.0340 0.0207  2 Pr 3.26, 3 Tb 3.45-3.63
Pm 0.9830 0.9660 0.5207  2 Pr 3.26, 3 Tb 3.45-3.63
Pm 0.2972 0.5943 0.7075  4 Pm 3.44-3.79, 3 Tm 3.54-3.80, 3 Tb 3.55-3.72, 1 Pr 3.56
Pm 0.4805 0.9610 0.7412  2 Pr 3.14-3.34
Pm 0.6154 0.2309 0.5219  6 Pm 3.57-3.91, 4 Tb 3.59-3.64, 1 Tm 3.75
Pm 0.3846 0.7691 0.0219  6 Pm 3.57-3.91, 4 Tb 3.59-3.64, 1 Tm 3.75
Pm 0.5195 0.0390 0.2412  2 Pr 3.14-3.34
Pm 0.2798 0.5596 0.3146  1 Pr 3.08, 1 Tb 3.32, 2 Pm 3.44
Tb 0.8861 0.7723 0.2337  1 Tm 3.43, 7 Pm 3.49-3.72, 2 Pr 3.74
Tb 0.8843 0.7686 0.8175  8 Pm 3.32-3.59, 1 Tm 3.67
Tb 0.1139 0.2277 0.7337  1 Tm 3.43, 7 Pm 3.49-3.72, 2 Pr 3.74
Tb 0.1157 0.2314 0.3175  8 Pm 3.32-3.59, 1 Tm 3.67
Pr 0.5873 0.1745 0.9553  5 Pm 3.08-3.34
Pr 0.4127 0.8255 0.4553  5 Pm 3.08-3.34
Tm 0.8007 0.6014 0.5115  2 Tb 3.43-3.67, 8 Pm 3.54-3.80, 2 Pr 3.69
Tm 0.1993 0.3986 0.0115  2 Tb 3.43-3.67, 8 Pm 3.54-3.80, 2 Pr 3.69

---

A geometry-optimized YNbSN2 structure, computed with PBE.

Distance to the lowest polymorph of the same formula in meV per atom: 0
Space group: P4/mmm, No. 123
Raw formation energy in eV per atom: -0.73
Total moment in μB/cell: 0.04

Cell: 4.0657 4.0657 4.8889 Å, 90.00 90.00 90.00°
Last column: nearest neighbours and their distance in Å.
Sites, in units of the cell vectors:
N 0.0000 0.5000 0.0000  2 Nb 2.03
N 0.5000 0.0000 0.0000  2 Nb 2.03
S 0.0000 0.0000 0.5000  2 Nb 2.44
Nb 0.0000 0.0000 0.0000  4 N 2.03
Y 0.5000 0.5000 0.5000  4 S 2.87, 8 N 3.18